1.
VASP calculation (PBE-GGA) on Zr2TaMo after structural relaxation.

## Properties
As for the space group: Cmm2. The calculation puts the density of states at the Fermi level at 5.2 states/eV per cell. The calculation puts the energy relative to the lowest polymorph listed for this composition at 73 meV per atom.

a = 2.9939 Å, b = 2.9939 Å, c = 9.6304 Å
α = 90.00°, β = 90.00°, γ = 113.33°
Fractional coordinates of all 4 atoms:
Zr: 0.0000 0.0000 0.0000
Zr: 0.5000 0.5000 0.2924
Ta: 0.5000 0.5000 0.7415
Mo: 0.0000 0.0000 0.5276

2.
VASP calculation (PBE-GGA) on ScSiRu2 after structural relaxation.

## Properties
As for the space group: Immm. The calculation puts the density of states at the Fermi level at 3.0 states/eV per cell. The formation energy (no corrections) is -1.7 eV per formula unit.

a = 4.9768 Å, b = 4.9768 Å, c = 4.9768 Å
α = 143.87°, β = 122.26°, γ = 70.03°
Fractional coordinates of all 4 atoms:
Sc: 0.0000 0.0000 0.0000
Si: 0.5000 0.5000 0.0000
Ru: 0.2764 0.7764 0.5000
Ru: 0.7236 0.2236 0.5000

3.
VASP calculation (PBE-GGA) on Sc2ZnP after structural relaxation.

## Properties
As for the space group: R-3m. The calculation puts the density of states at the Fermi level at 2.8 states/eV per cell. The calculation puts the energy relative to the lowest polymorph listed for this composition at 44 meV per atom.

a = 7.2076 Å, b = 7.2076 Å, c = 7.2076 Å
α = 29.50°, β = 29.50°, γ = 29.50°
Fractional coordinates of all 4 atoms:
Sc: 0.2381 0.2381 0.2381
Sc: 0.7619 0.7619 0.7619
Zn: 0.0000 0.0000 0.0000
P: 0.5000 0.5000 0.5000

4.
VASP calculation (PBE-GGA) on PmTlCd2 after structural relaxation.

## Properties
As for the space group: P-6m2. The calculation puts the density of states at the Fermi level at 4.7 states/eV per cell. The calculation puts the total energy at -1.83 eV per atom.

a = 5.1691 Å, b = 5.1691 Å, c = 5.9530 Å
α = 90.00°, β = 90.00°, γ = 120.00°
Fractional coordinates of all 4 atoms:
Pm: 0.0000 0.0000 0.0000
Tl: 0.6667 0.3333 0.5000
Cd: 0.0000 0.0000 0.5000
Cd: 0.3333 0.6667 0.5000

5.
VASP calculation (PBE-GGA) on PRuSeBr2 after structural relaxation.

## Properties
As for the space group: P4/mmm. The calculation puts the density of states at the Fermi level at 4.3 states/eV per cell. The calculation puts the energy relative to the lowest polymorph listed for this composition at 0 meV per atom. The formation energy (no corrections) is 3.7 eV per formula unit.

a = 5.0225 Å, b = 5.0225 Å, c = 4.7536 Å
α = 90.00°, β = 90.00°, γ = 90.00°
Fractional coordinates of all 5 atoms:
P: 0.0000 0.0000 0.0000
Ru: 0.5000 0.5000 0.5000
Se: 0.5000 0.5000 0.0000
Br: 0.0000 0.5000 0.5000
Br: 0.5000 0.0000 0.5000

6.
VASP calculation (PBE-GGA) on Ce4ErAs5 after structural relaxation.

## Properties
As for the space group: I4/m. The calculation puts the density of states at the Fermi level at 20.9 states/eV per cell. The calculation puts the total energy at -6.59 eV per atom.

a = 7.2577 Å, b = 7.2577 Å, c = 7.2577 Å
α = 99.61°, β = 99.61°, γ = 131.77°
Fractional coordinates of all 10 atoms:
Ce: 0.0988 0.2997 0.3985
Ce: 0.2997 0.9012 0.2010
Ce: 0.7003 0.0988 0.7990
Ce: 0.9012 0.7003 0.6015
Er: 0.5000 0.5000 0.0000
As: 0.0000 0.0000 0.0000
As: 0.2037 0.5993 0.8030
As: 0.4007 0.2037 0.6044
As: 0.5993 0.7963 0.3956
As: 0.7963 0.4007 0.1970

7.
VASP calculation (PBE-GGA) on HfAu after structural relaxation.

## Properties
As for the space group: P6_3/mmc. The calculation puts the density of states at the Fermi level at 4.4 states/eV per cell. The calculation puts the total energy at -6.45 eV per atom.

a = 4.6840 Å, b = 4.6840 Å, c = 5.5320 Å
α = 90.00°, β = 90.00°, γ = 120.00°
Fractional coordinates of all 4 atoms:
Hf: 0.3333 0.6667 0.2500
Hf: 0.6667 0.3333 0.7500
Au: 0.3333 0.6667 0.7500
Au: 0.6667 0.3333 0.2500

8.
VASP calculation (PBE-GGA) on Tb2Pr4NdDy2 after structural relaxation.

## Properties
As for the space group: C2/m. The calculation puts the density of states at the Fermi level at 13.5 states/eV per cell. The calculation puts the total energy at -4.69 eV per atom.

a = 8.1427 Å, b = 8.1427 Å, c = 8.1256 Å
α = 107.40°, β = 107.40°, γ = 36.79°
Fractional coordinates of all 9 atoms:
Tb: 0.1115 0.1115 0.1686
Tb: 0.8885 0.8885 0.8314
Pr: 0.2231 0.2231 0.8313
Pr: 0.4459 0.4459 0.1680
Pr: 0.5541 0.5541 0.8320
Pr: 0.7769 0.7769 0.1687
Nd: 0.0000 0.0000 0.5000
Dy: 0.3318 0.3318 0.5009
Dy: 0.6682 0.6682 0.4991

9.
VASP calculation (PBE-GGA) on YHf2CoRu after structural relaxation.

## Properties
As for the space group: P4/mmm. The calculation puts the density of states at the Fermi level at 4.8 states/eV per cell. The calculation puts the energy relative to the lowest polymorph listed for this composition at 118 meV per atom.

a = 4.8930 Å, b = 4.8930 Å, c = 4.8399 Å
α = 90.00°, β = 90.00°, γ = 90.00°
Fractional coordinates of all 5 atoms:
Y: 0.0000 0.0000 0.0000
Hf: 0.0000 0.5000 0.5000
Hf: 0.5000 0.0000 0.5000
Co: 0.5000 0.5000 0.0000
Ru: 0.5000 0.5000 0.5000

10.
VASP calculation (PBE-GGA) on CdOs2Ru after structural relaxation.

## Properties
As for the space group: P4mm. The calculation puts the density of states at the Fermi level at 4.5 states/eV per cell. The calculation puts the total energy at -7.85 eV per atom.

a = 2.7948 Å, b = 2.7948 Å, c = 7.9682 Å
α = 90.00°, β = 90.00°, γ = 90.00°
Fractional coordinates of all 4 atoms:
Cd: 0.0000 0.0000 0.0000
Os: 0.0000 0.0000 0.5015
Os: 0.5000 0.5000 0.2779
Ru: 0.5000 0.5000 0.7287

11.
VASP calculation (PBE-GGA) on Sc4In2C after structural relaxation.

## Properties
As for the space group: I4/mmm. The calculation puts the density of states at the Fermi level at 4.3 states/eV per cell. The calculation puts the energy relative to the lowest polymorph listed for this composition at 0 meV per atom.

a = 8.0120 Å, b = 8.0120 Å, c = 8.0120 Å
α = 146.99°, β = 146.99°, γ = 47.37°
Fractional coordinates of all 7 atoms:
Sc: 0.0000 0.5000 0.5000
Sc: 0.1561 0.1561 0.0000
Sc: 0.5000 0.0000 0.5000
Sc: 0.8439 0.8439 0.0000
In: 0.3630 0.3630 0.0000
In: 0.6370 0.6370 0.0000
C: 0.0000 0.0000 0.0000

12.
VASP calculation (PBE-GGA) on NpAs2Au2 after structural relaxation.

## Properties
As for the space group: Cmcm. The calculation puts the density of states at the Fermi level at 18.1 states/eV per cell. The calculation puts the total energy at -6.08 eV per atom.

a = 12.2886 Å, b = 12.2886 Å, c = 4.0684 Å
α = 90.00°, β = 90.00°, γ = 161.23°
Fractional coordinates of all 10 atoms:
Np: 0.1565 0.8435 0.7500
Np: 0.8435 0.1565 0.2500
As: 0.2498 0.7502 0.2500
As: 0.3699 0.6301 0.7500
As: 0.6301 0.3699 0.2500
As: 0.7502 0.2498 0.7500
Au: 0.0464 0.9536 0.2500
Au: 0.4542 0.5458 0.2500
Au: 0.5458 0.4542 0.7500
Au: 0.9536 0.0464 0.7500

13.
VASP calculation (PBE-GGA) on YCr2Fe after structural relaxation.

## Properties
As for the space group: Fm-3m. The calculation puts the density of states at the Fermi level at 2.8 states/eV per cell. The calculation puts the energy relative to the lowest polymorph listed for this composition at 415 meV per atom.

a = 4.3248 Å, b = 4.3248 Å, c = 4.3248 Å
α = 60.00°, β = 60.00°, γ = 60.00°
Fractional coordinates of all 4 atoms:
Y: 0.0000 0.0000 0.0000
Cr: 0.2500 0.2500 0.2500
Cr: 0.7500 0.7500 0.7500
Fe: 0.5000 0.5000 0.5000

14.
VASP calculation (PBE-GGA) on KBiPb2I8 after structural relaxation.

## Properties
As for the space group: P-1. The calculation puts the density of states at the Fermi level at 0.0 states/eV per cell. The formation energy (no corrections) is -8.2 eV per formula unit.

a = 7.4456 Å, b = 7.8025 Å, c = 9.7321 Å
α = 89.98°, β = 89.95°, γ = 89.09°
Fractional coordinates of all 12 atoms:
K: 0.0000 0.0000 0.0000
Bi: 0.0000 0.0000 0.5000
Pb: 0.4999 0.5001 0.2502
Pb: 0.5001 0.4999 0.7498
I: 0.2363 0.3325 0.5002
I: 0.2488 0.8455 0.7256
I: 0.2493 0.8461 0.2742
I: 0.2705 0.3612 0.0002
I: 0.7295 0.6388 0.9998
I: 0.7507 0.1539 0.7258
I: 0.7512 0.1545 0.2744
I: 0.7637 0.6675 0.4998

15.
VASP calculation (PBE-GGA) on AcPmSe3 after structural relaxation.

## Properties
As for the space group: Pmmn. The calculation puts the energy relative to the lowest polymorph listed for this composition at 33 meV per atom. The formation energy (no corrections) is -9.7 eV per formula unit.

a = 4.3502 Å, b = 7.1911 Å, c = 9.4481 Å
α = 90.00°, β = 90.00°, γ = 90.00°
Fractional coordinates of all 10 atoms:
Ac: 0.2500 0.2500 0.1481
Ac: 0.7500 0.7500 0.8519
Pm: 0.2500 0.7500 0.4020
Pm: 0.7500 0.2500 0.5980
Se: 0.2500 0.5170 0.6643
Se: 0.2500 0.7500 0.0763
Se: 0.2500 0.9830 0.6643
Se: 0.7500 0.0170 0.3357
Se: 0.7500 0.2500 0.9237
Se: 0.7500 0.4830 0.3357

16.
VASP calculation (PBE-GGA) on Sm2MgIr9 after structural relaxation.

## Properties
As for the space group: R-3m. The calculation puts the density of states at the Fermi level at 11.5 states/eV per cell. The calculation puts the total energy at -7.90 eV per atom.

a = 9.3761 Å, b = 9.3761 Å, c = 9.3761 Å
α = 32.80°, β = 32.80°, γ = 32.80°
Fractional coordinates of all 12 atoms:
Sm: 0.1374 0.1374 0.1374
Sm: 0.8626 0.8626 0.8626
Mg: 0.0000 0.0000 0.0000
Ir: 0.0828 0.5804 0.5804
Ir: 0.3326 0.3326 0.3326
Ir: 0.4196 0.4196 0.9172
Ir: 0.4196 0.9172 0.4196
Ir: 0.5000 0.5000 0.5000
Ir: 0.5804 0.0828 0.5804
Ir: 0.5804 0.5804 0.0828
Ir: 0.6674 0.6674 0.6674
Ir: 0.9172 0.4196 0.4196

17.
VASP calculation (PBE-GGA) on RbThTe3Pd after structural relaxation.

## Properties
As for the space group: Cmcm. The calculation puts the density of states at the Fermi level at 7.9 states/eV per cell. The formation energy (no corrections) is -6.0 eV per formula unit.

a = 9.0174 Å, b = 9.0174 Å, c = 11.2839 Å
α = 90.00°, β = 90.00°, γ = 152.19°
Fractional coordinates of all 12 atoms:
Rb: 0.2490 0.7510 0.7500
Rb: 0.7510 0.2490 0.2500
Th: 0.0000 0.0000 0.0000
Th: 0.0000 0.0000 0.5000
Te: 0.0781 0.9219 0.2500
Te: 0.3772 0.6228 0.0694
Te: 0.3772 0.6228 0.4306
Te: 0.6228 0.3772 0.5694
Te: 0.6228 0.3772 0.9306
Te: 0.9219 0.0781 0.7500
Pd: 0.4821 0.5179 0.2500
Pd: 0.5179 0.4821 0.7500

18.
VASP calculation (PBE-GGA) on HgSb2Pb3 after structural relaxation.

## Properties
As for the space group: C2/m. The calculation puts the density of states at the Fermi level at 3.4 states/eV per cell. The calculation puts the energy relative to the lowest polymorph listed for this composition at 7 meV per atom. The formation energy (no corrections) is 0.2 eV per formula unit.

a = 7.2248 Å, b = 7.2248 Å, c = 12.6428 Å
α = 99.23°, β = 99.23°, γ = 36.38°
Fractional coordinates of all 12 atoms:
Hg: 0.1092 0.1092 0.4721
Hg: 0.8908 0.8908 0.5279
Sb: 0.2309 0.2309 0.8365
Sb: 0.4615 0.4615 0.6862
Sb: 0.5385 0.5385 0.3138
Sb: 0.7691 0.7691 0.1635
Pb: 0.0844 0.0844 0.1597
Pb: 0.3245 0.3245 0.3512
Pb: 0.3853 0.3853 0.0660
Pb: 0.6147 0.6147 0.9340
Pb: 0.6755 0.6755 0.6488
Pb: 0.9156 0.9156 0.8403

19.
VASP calculation (PBE-GGA) on Sr2LaAu after structural relaxation.

## Properties
As for the space group: Immm. The calculation puts the density of states at the Fermi level at 3.6 states/eV per cell. The calculation puts the energy relative to the lowest polymorph listed for this composition at 94 meV per atom.

a = 7.8261 Å, b = 7.8261 Å, c = 7.8261 Å
α = 151.43°, β = 138.62°, γ = 51.05°
Fractional coordinates of all 4 atoms:
Sr: 0.1796 0.1796 0.0000
Sr: 0.8204 0.8204 0.0000
La: 0.5000 0.0000 0.5000
Au: 0.0000 0.5000 0.5000

20.
VASP calculation (PBE-GGA) on YGa2Ni9 after structural relaxation.

## Properties
As for the space group: R-3m. The calculation puts the density of states at the Fermi level at 17.1 states/eV per cell. The calculation puts the energy relative to the lowest polymorph listed for this composition at 62 meV per atom.

a = 8.1444 Å, b = 8.1444 Å, c = 8.1444 Å
α = 34.70°, β = 34.70°, γ = 34.70°
Fractional coordinates of all 12 atoms:
Y: 0.0000 0.0000 0.0000
Ga: 0.1420 0.1420 0.1420
Ga: 0.8580 0.8580 0.8580
Ni: 0.0808 0.5903 0.5903
Ni: 0.3341 0.3341 0.3341
Ni: 0.4097 0.4097 0.9192
Ni: 0.4097 0.9192 0.4097
Ni: 0.5000 0.5000 0.5000
Ni: 0.5903 0.0808 0.5903
Ni: 0.5903 0.5903 0.0808
Ni: 0.6659 0.6659 0.6659
Ni: 0.9192 0.4097 0.4097

21.
VASP calculation (PBE-GGA) on TaSiGeAs2 after structural relaxation.

## Properties
As for the space group: P4/mmm. The calculation puts the density of states at the Fermi level at 3.0 states/eV per cell. The formation energy (no corrections) is 3.0 eV per formula unit.

a = 4.9925 Å, b = 4.9925 Å, c = 4.9172 Å
α = 90.00°, β = 90.00°, γ = 90.00°
Fractional coordinates of all 5 atoms:
Ta: 0.0000 0.0000 0.0000
Si: 0.0000 0.0000 0.5000
Ge: 0.5000 0.5000 0.5000
As: 0.0000 0.5000 0.0000
As: 0.5000 0.0000 0.0000

22.
VASP calculation (PBE-GGA) on Dy2MnRu after structural relaxation.

## Properties
As for the space group: P4/mmm. The calculation puts the density of states at the Fermi level at 2.5 states/eV per cell. The calculation puts the total energy at -7.02 eV per atom.

a = 3.4352 Å, b = 3.4352 Å, c = 7.1065 Å
α = 90.00°, β = 90.00°, γ = 90.00°
Fractional coordinates of all 4 atoms:
Dy: 0.0000 0.0000 0.2344
Dy: 0.0000 0.0000 0.7656
Mn: 0.5000 0.5000 0.5000
Ru: 0.5000 0.5000 0.0000

23.
VASP calculation (PBE-GGA) on BaMg2Pt after structural relaxation.

## Properties
As for the space group: Pm. The calculation puts the density of states at the Fermi level at 2.1 states/eV per cell. The calculation puts the total energy at -3.23 eV per atom.

a = 4.3469 Å, b = 4.3243 Å, c = 6.5105 Å
α = 90.00°, β = 90.23°, γ = 90.00°
Fractional coordinates of all 4 atoms:
Ba: 0.0000 0.0000 0.0000
Mg: 0.0028 0.5000 0.4720
Mg: 0.5025 0.0000 0.4745
Pt: 0.5009 0.5000 0.2404

24.
VASP calculation (PBE-GGA) on Pr3Dy4Ir4 after structural relaxation.

## Properties
As for the space group: Immm. The calculation puts the density of states at the Fermi level at 6.7 states/eV per cell. The calculation puts the total energy at -6.81 eV per atom.

a = 9.3161 Å, b = 9.3161 Å, c = 9.3161 Å
α = 155.11°, β = 124.45°, γ = 61.78°
Fractional coordinates of all 11 atoms:
Pr: 0.0000 0.0000 0.0000
Pr: 0.3986 0.8986 0.5000
Pr: 0.6014 0.1014 0.5000
Dy: 0.0232 0.3313 0.6918
Dy: 0.3605 0.6687 0.6918
Dy: 0.6395 0.3313 0.3082
Dy: 0.9768 0.6687 0.3082
Ir: 0.2407 0.2407 0.0000
Ir: 0.2820 0.5000 0.7820
Ir: 0.7180 0.5000 0.2180
Ir: 0.7593 0.7593 0.0000

25.
VASP calculation (PBE-GGA) on SrCa7Zn2 after structural relaxation.

## Properties
As for the space group: I4/mmm. The calculation puts the density of states at the Fermi level at 14.2 states/eV per cell. The calculation puts the total energy at -1.82 eV per atom.

a = 13.8293 Å, b = 13.8293 Å, c = 13.8293 Å
α = 157.75°, β = 157.75°, γ = 31.67°
Fractional coordinates of all 10 atoms:
Sr: 0.0000 0.0000 0.0000
Ca: 0.1143 0.6143 0.5000
Ca: 0.2500 0.7500 0.5000
Ca: 0.3857 0.8857 0.5000
Ca: 0.5000 0.5000 0.0000
Ca: 0.6143 0.1143 0.5000
Ca: 0.7500 0.2500 0.5000
Ca: 0.8857 0.3857 0.5000
Zn: 0.3201 0.3201 0.0000
Zn: 0.6799 0.6799 0.0000

26.
VASP calculation (PBE-GGA) on BaYV2Sb after structural relaxation.

## Properties
As for the space group: P4/mmm. The calculation puts the density of states at the Fermi level at 7.8 states/eV per cell. The formation energy (no corrections) is 7.9 eV per formula unit.

a = 5.0865 Å, b = 5.0865 Å, c = 6.1215 Å
α = 90.00°, β = 90.00°, γ = 90.00°
Fractional coordinates of all 5 atoms:
Ba: 0.0000 0.0000 0.0000
Y: 0.5000 0.5000 0.5000
V: 0.0000 0.5000 0.0000
V: 0.5000 0.0000 0.0000
Sb: 0.0000 0.0000 0.5000